{
  "formula": "NaAgMoPb2",
  "functional": "SCAN",
  "state": "single point on PBEsol structure",
  "delta_e_f_ev_per_fu": 4.52,
  "density_g_cm3": 6.96,
  "m_tot_mub_per_fu": 4.50,
  "volume_a3_per_atom": 30.6,
  "lattice": [[5.3727, 0.0000, 0.0000], [0.0000, 5.3727, 0.0000], [0.0000, 0.0000, 5.3000]],
  "species": ["Na", "Ag", "Mo", "Pb", "Pb"],
  "fractional_positions": [[0.0000, 0.0000, 0.0000], [0.5000, 0.5000, 0.5000], [0.5000, 0.5000, 0.0000], [0.0000, 0.5000, 0.5000], [0.5000, 0.0000, 0.5000]]
}

=====

{
  "formula": "NiAg2Mo",
  "functional": "SCAN",
  "state": "single point on PBEsol structure",
  "delta_e_f_ev_per_fu": 2.45,
  "density_g_cm3": 10.49,
  "m_tot_mub_per_fu": 0.00,
  "polymorph_energy_mev_per_atom": 322.3,
  "volume_a3_per_atom": 14.7,
  "lattice": [[4.3724, 0.0000, 0.0000], [0.0000, 4.3724, 0.0000], [0.0000, 0.0000, 6.1350]],
  "species": ["Ni", "Ni", "Ag", "Ag", "Ag", "Ag", "Mo", "Mo"],
  "fractional_positions": [[0.0000, 0.0000, 0.0000], [0.5000, 0.5000, 0.5000], [0.0000, 0.0000, 0.5000], [0.0000, 0.5000, 0.7500], [0.5000, 0.0000, 0.2500], [0.5000, 0.5000, 0.0000], [0.0000, 0.5000, 0.2500], [0.5000, 0.0000, 0.7500]]
}

=====

{
  "formula": "NiAg2Mo",
  "functional": "SCAN",
  "state": "single point on PBEsol structure",
  "delta_e_f_ev_per_fu": 2.54,
  "density_g_cm3": 10.41,
  "m_tot_mub_per_fu": 0.00,
  "polymorph_energy_mev_per_atom": 345.8,
  "volume_a3_per_atom": 14.8,
  "lattice": [[5.2168, 0.0000, 0.0000], [0.0000, 8.6204, 0.0000], [0.0000, 0.0000, 2.6282]],
  "species": ["Ni", "Ni", "Ag", "Ag", "Ag", "Ag", "Mo", "Mo"],
  "fractional_positions": [[0.0000, 0.0000, 0.0000], [0.5000, 0.5000, 0.0000], [0.2500, 0.2500, 0.5000], [0.2500, 0.7500, 0.5000], [0.7500, 0.2500, 0.5000], [0.7500, 0.7500, 0.5000], [0.0000, 0.5000, 0.0000], [0.5000, 0.0000, 0.0000]]
}

=====

{
  "formula": "NiAg2Mo",
  "functional": "SCAN",
  "state": "single point on PBEsol structure",
  "delta_e_f_ev_per_fu": 1.16,
  "density_g_cm3": 10.41,
  "m_tot_mub_per_fu": 0.00,
  "polymorph_energy_mev_per_atom": 0.0,
  "volume_a3_per_atom": 14.8,
  "lattice": [[2.7483, 0.0000, 0.0000], [-1.3741, 2.3801, 0.0000], [0.0000, 0.0000, 27.0909]],
  "species": ["Ni", "Ni", "Ni", "Ag", "Ag", "Ag", "Ag", "Ag", "Ag", "Mo", "Mo", "Mo"],
  "fractional_positions": [[0.0000, 0.0000, 0.0000], [0.3333, 0.6667, 0.6667], [0.6667, 0.3333, 0.3333], [0.0000, 0.0000, 0.5035], [0.0000, 0.0000, 0.7474], [0.3333, 0.6667, 0.1702], [0.3333, 0.6667, 0.4141], [0.6667, 0.3333, 0.0808], [0.6667, 0.3333, 0.8368], [0.0000, 0.0000, 0.2608], [0.3333, 0.6667, 0.9275], [0.6667, 0.3333, 0.5941]]
}

=====

{
  "formula": "NiAgMo",
  "functional": "SCAN",
  "state": "single point on PBEsol structure",
  "delta_e_f_ev_per_fu": 2.22,
  "density_g_cm3": 9.30,
  "m_tot_mub_per_fu": 0.00,
  "volume_a3_per_atom": 15.6,
  "lattice": [[5.7230, 0.0000, 0.0000], [0.0000, 5.7230, 0.0000], [0.0000, 0.0000, 5.7230]],
  "species": ["Ni", "Ni", "Ni", "Ni", "Ag", "Ag", "Ag", "Ag", "Mo", "Mo", "Mo", "Mo"],
  "fractional_positions": [[0.0000, 0.0000, 0.0000], [0.0000, 0.5000, 0.5000], [0.5000, 0.0000, 0.5000], [0.5000, 0.5000, 0.0000], [0.2500, 0.2500, 0.2500], [0.2500, 0.7500, 0.7500], [0.7500, 0.2500, 0.7500], [0.7500, 0.7500, 0.2500], [0.2500, 0.2500, 0.7500], [0.2500, 0.7500, 0.2500], [0.7500, 0.2500, 0.2500], [0.7500, 0.7500, 0.7500]]
}

=====

{
  "formula": "Ag2Mo2O7",
  "functional": "SCAN",
  "state": "single point on PBEsol structure",
  "density_g_cm3": 6.00,
  "m_tot_mub_per_fu": 0.00,
  "e_form_raw_kj_per_mol_atoms": -154.1,
  "volume_a3_per_atom": 13.1,
  "lattice": [[6.0353, 0.0000, 0.0000], [0.0000, 12.9893, 0.0000], [-2.7736, 0.0000, 7.3365]],
  "species": ["Ag", "Ag", "Ag", "Ag", "Ag", "Ag", "Ag", "Ag", "Mo", "Mo", "Mo", "Mo", "Mo", "Mo", "Mo", "Mo", "O", "O", "O", "O", "O", "O", "O", "O", "O", "O", "O", "O", "O", "O", "O", "O", "O", "O", "O", "O", "O", "O", "O", "O", "O", "O", "O", "O"],
  "fractional_positions": [[0.0360, 0.0932, 0.4078], [0.0360, 0.4068, 0.9078], [0.4280, 0.7273, 0.9774], [0.4280, 0.7727, 0.4774], [0.5720, 0.2273, 0.5226], [0.5720, 0.2727, 0.0226], [0.9640, 0.5932, 0.0922], [0.9640, 0.9068, 0.5922], [0.0188, 0.1233, 0.8985], [0.0188, 0.3767, 0.3985], [0.4719, 0.0042, 0.2001], [0.4719, 0.4958, 0.7001], [0.5281, 0.5042, 0.2999], [0.5281, 0.9958, 0.7999], [0.9812, 0.6233, 0.6015], [0.9812, 0.8767, 0.1015], [0.0685, 0.6266, 0.8397], [0.0685, 0.8734, 0.3397], [0.1469, 0.0425, 0.1569], [0.1469, 0.4575, 0.6569], [0.1720, 0.2381, 0.9703], [0.1720, 0.2619, 0.4703], [0.2609, 0.6397, 0.5688], [0.2609, 0.8603, 0.0688], [0.3193, 0.0450, 0.9161], [0.3193, 0.4550, 0.4161], [0.3899, 0.6226, 0.2255], [0.3899, 0.8774, 0.7255], [0.4368, 0.0724, 0.6056], [0.4368, 0.4276, 0.1056], [0.5632, 0.5724, 0.8944], [0.5632, 0.9276, 0.3944], [0.6101, 0.1226, 0.2745], [0.6101, 0.3774, 0.7745], [0.6807, 0.5450, 0.5839], [0.6807, 0.9550, 0.0839], [0.7391, 0.1397, 0.9312], [0.7391, 0.3603, 0.4312], [0.8280, 0.7381, 0.5297], [0.8280, 0.7619, 0.0297], [0.8531, 0.5425, 0.3431], [0.8531, 0.9575, 0.8431], [0.9315, 0.1266, 0.6603], [0.9315, 0.3734, 0.1603]]
}

=====

{
  "formula": "Ag2Mo3SeO12",
  "functional": "SCAN",
  "state": "single point on PBEsol structure",
  "density_g_cm3": 5.25,
  "m_tot_mub_per_fu": 0.00,
  "e_form_raw_kj_per_mol_atoms": -152.1,
  "volume_a3_per_atom": 13.6,
  "lattice": [[7.2331, 0.0000, 0.0000], [0.0000, 11.0370, 0.0000], [-4.2053, 0.0000, 12.2753]],
  "species": ["Ag", "Ag", "Ag", "Ag", "Ag", "Ag", "Ag", "Ag", "Mo", "Mo", "Mo", "Mo", "Mo", "Mo", "Mo", "Mo", "Mo", "Mo", "Mo", "Mo", "Se", "Se", "Se", "Se", "O", "O", "O", "O", "O", "O", "O", "O", "O", "O", "O", "O", "O", "O", "O", "O", "O", "O", "O", "O", "O", "O", "O", "O", "O", "O", "O", "O", "O", "O", "O", "O", "O", "O", "O", "O", "O", "O", "O", "O", "O", "O", "O", "O", "O", "O", "O", "O"],
  "fractional_positions": [[0.2166, 0.1013, 0.3111], [0.2166, 0.3987, 0.8111], [0.2459, 0.0701, 0.8212], [0.2459, 0.4299, 0.3212], [0.7541, 0.5701, 0.6788], [0.7541, 0.9299, 0.1788], [0.7834, 0.6013, 0.1889], [0.7834, 0.8987, 0.6889], [0.2041, 0.5821, 0.0733], [0.2041, 0.9179, 0.5733], [0.2065, 0.2474, 0.0588], [0.2065, 0.2526, 0.5588], [0.2149, 0.5827, 0.5610], [0.2149, 0.9173, 0.0610], [0.7851, 0.0827, 0.9390], [0.7851, 0.4173, 0.4390], [0.7935, 0.7474, 0.4412], [0.7935, 0.7526, 0.9412], [0.7959, 0.0821, 0.4267], [0.7959, 0.4179, 0.9267], [0.1592, 0.6963, 0.8115], [0.1592, 0.8037, 0.3115], [0.8408, 0.1963, 0.6885], [0.8408, 0.3037, 0.1885], [0.0795, 0.2311, 0.6910], [0.0795, 0.2689, 0.1910], [0.0929, 0.5958, 0.7017], [0.0929, 0.9042, 0.2017], [0.1170, 0.0802, 0.0557], [0.1170, 0.4198, 0.5557], [0.1267, 0.7483, 0.5390], [0.1267, 0.7517, 0.0390], [0.1277, 0.5848, 0.1880], [0.1277, 0.9152, 0.6880], [0.1334, 0.0824, 0.5345], [0.1334, 0.4176, 0.0345], [0.2242, 0.5875, 0.9124], [0.2242, 0.9125, 0.4124], [0.2634, 0.2359, 0.9388], [0.2634, 0.2641, 0.4388], [0.2826, 0.5745, 0.4454], [0.2826, 0.9255, 0.9454], [0.4273, 0.2471, 0.1562], [0.4273, 0.2529, 0.6562], [0.4376, 0.5826, 0.6601], [0.4376, 0.9174, 0.1601], [0.4509, 0.5825, 0.1299], [0.4509, 0.9175, 0.6299], [0.5491, 0.0825, 0.3701], [0.5491, 0.4175, 0.8701], [0.5624, 0.0826, 0.8399], [0.5624, 0.4174, 0.3399], [0.5727, 0.7471, 0.3438], [0.5727, 0.7529, 0.8438], [0.7174, 0.0745, 0.0546], [0.7174, 0.4255, 0.5546], [0.7366, 0.7359, 0.5612], [0.7366, 0.7641, 0.0612], [0.7758, 0.0875, 0.5876], [0.7758, 0.4125, 0.0876], [0.8666, 0.5824, 0.9655], [0.8666, 0.9176, 0.4655], [0.8723, 0.0848, 0.3120], [0.8723, 0.4152, 0.8120], [0.8733, 0.2483, 0.9610], [0.8733, 0.2517, 0.4610], [0.8830, 0.5802, 0.4443], [0.8830, 0.9198, 0.9443], [0.9071, 0.0958, 0.7983], [0.9071, 0.4042, 0.2983], [0.9205, 0.7311, 0.8090], [0.9205, 0.7689, 0.3090]]
}

=====

{
  "formula": "AgMoOs2",
  "functional": "SCAN",
  "state": "single point on PBEsol structure",
  "delta_e_f_ev_per_fu": 2.42,
  "density_g_cm3": 16.50,
  "m_tot_mub_per_fu": 0.00,
  "volume_a3_per_atom": 14.7,
  "lattice": [[5.5359, 0.0000, 0.0000], [0.0000, 7.6857, 0.0000], [0.0000, 0.0000, 2.7644]],
  "species": ["Ag", "Ag", "Mo", "Mo", "Os", "Os", "Os", "Os"],
  "fractional_positions": [[0.0000, 0.0000, 0.0000], [0.5000, 0.5000, 0.0000], [0.0000, 0.5000, 0.0000], [0.5000, 0.0000, 0.0000], [0.2500, 0.2500, 0.5000], [0.2500, 0.7500, 0.5000], [0.7500, 0.2500, 0.5000], [0.7500, 0.7500, 0.5000]]
}

=====

{
  "formula": "AgMo2Os",
  "functional": "SCAN",
  "state": "single point on PBEsol structure",
  "delta_e_f_ev_per_fu": 1.93,
  "density_g_cm3": 13.52,
  "m_tot_mub_per_fu": 0.00,
  "polymorph_energy_mev_per_atom": 188.1,
  "volume_a3_per_atom": 15.0,
  "lattice": [[3.9259, 0.0000, 0.0000], [0.0000, 3.9259, 0.0000], [0.0000, 0.0000, 7.8115]],
  "species": ["Ag", "Ag", "Mo", "Mo", "Mo", "Mo", "Os", "Os"],
  "fractional_positions": [[0.0000, 0.0000, 0.0000], [0.5000, 0.5000, 0.5000], [0.0000, 0.0000, 0.5000], [0.0000, 0.5000, 0.2500], [0.5000, 0.0000, 0.7500], [0.5000, 0.5000, 0.0000], [0.0000, 0.5000, 0.7500], [0.5000, 0.0000, 0.2500]]
}

=====

{
  "formula": "AgMo2Os",
  "functional": "SCAN",
  "state": "single point on PBEsol structure",
  "delta_e_f_ev_per_fu": 1.18,
  "density_g_cm3": 13.44,
  "m_tot_mub_per_fu": 0.00,
  "polymorph_energy_mev_per_atom": 0.0,
  "volume_a3_per_atom": 15.1,
  "lattice": [[2.7600, 0.0000, 0.0000], [0.0000, 3.9585, 0.0000], [0.0000, 0.0000, 5.5430]],
  "species": ["Ag", "Mo", "Mo", "Os"],
  "fractional_positions": [[0.0000, 0.0000, 0.0000], [0.5000, 0.5000, 0.2714], [0.5000, 0.5000, 0.7286], [0.0000, 0.0000, 0.5000]]
}

=====

{
  "formula": "AgMoOs",
  "functional": "SCAN",
  "state": "single point on PBEsol structure",
  "delta_e_f_ev_per_fu": 1.28,
  "density_g_cm3": 13.97,
  "m_tot_mub_per_fu": 0.00,
  "volume_a3_per_atom": 15.6,
  "lattice": [[2.8865, 0.0000, 0.0000], [0.0000, 2.8865, 0.0000], [0.0000, 0.0000, 11.2410]],
  "species": ["Ag", "Ag", "Mo", "Mo", "Os", "Os"],
  "fractional_positions": [[0.0000, 0.0000, 0.0000], [0.5000, 0.5000, 0.5000], [0.0000, 0.0000, 0.6843], [0.5000, 0.5000, 0.1843], [0.0000, 0.0000, 0.3205], [0.5000, 0.5000, 0.8205]]
}

=====

{
  "formula": "Ag2MoP",
  "functional": "SCAN",
  "state": "single point on PBEsol structure",
  "delta_e_f_ev_per_fu": 1.08,
  "density_g_cm3": 8.95,
  "m_tot_mub_per_fu": 0.00,
  "volume_a3_per_atom": 15.9,
  "lattice": [[8.5867, 0.0000, 0.0000], [0.0000, 3.0556, 0.0000], [-1.9488, 0.0000, 4.8483]],
  "species": ["Ag", "Ag", "Ag", "Ag", "Mo", "Mo", "P", "P"],
  "fractional_positions": [[0.0000, 0.0000, 0.0000], [0.2254, 0.0000, 0.7823], [0.5000, 0.5000, 0.0000], [0.7254, 0.5000, 0.7823], [0.2951, 0.5000, 0.3610], [0.7951, 0.0000, 0.3610], [0.0152, 0.5000, 0.4067], [0.5152, 0.0000, 0.4067]]
}